No. 1
Below is a geometry-optimized DyMgNi2 structure, with properties calculated at the PBE level.

```
16
Lattice="6.467 0.000 0.000 0.000 6.467 0.000 0.000 0.000 6.467" Properties=species:S:1:pos:R:3 pbc="T T T"
Dy 0.000 0.000 0.000
Dy 0.000 3.234 3.234
Dy 3.234 0.000 3.234
Dy 3.234 3.234 0.000
Mg 0.000 0.000 3.234
Mg 0.000 3.234 0.000
Mg 3.234 0.000 0.000
Mg 3.234 3.234 3.234
Ni 1.617 1.617 1.617
Ni 1.617 1.617 4.850
Ni 1.617 4.850 1.617
Ni 1.617 4.850 4.850
Ni 4.850 1.617 1.617
Ni 4.850 1.617 4.850
Ni 4.850 4.850 1.617
Ni 4.850 4.850 4.850
```

Summary:
- calculated formation energy (eV per atom) = -0.278
- spin magnetization (Bohr magnetons per cell) = 0.00
- E (eV per atom) = -4.72

No. 2
Below is a geometry-optimized Dy12MgNi6 structure, with properties calculated at the PBE level.

```
19
Lattice="-4.868 4.868 4.868 4.868 -4.868 4.868 4.868 4.868 -4.868" Properties=species:S:1:pos:R:3 pbc="T T T"
Dy 4.868 -1.896 3.048
Dy 2.973 1.821 0.000
Dy 6.764 1.821 0.000
Dy 3.048 4.868 -1.896
Dy 1.821 0.000 2.973
Dy 0.000 2.973 1.821
Dy 4.868 1.896 3.048
Dy 3.048 4.868 1.896
Dy 1.821 0.000 6.764
Dy -1.896 3.048 4.868
Dy 1.896 3.048 4.868
Dy 0.000 6.764 1.821
Mg 0.000 0.000 0.000
Ni 4.868 0.000 1.195
Ni 4.868 3.673 0.000
Ni 1.195 4.868 0.000
Ni 3.673 0.000 4.868
Ni 0.000 1.195 4.868
Ni 0.000 4.868 3.673
```

Summary:
- calculated formation energy (eV per atom) = -0.297
- spin magnetization (Bohr magnetons per cell) = 0.00
- E (eV per atom) = -5.11

No. 3
Below is a geometry-optimized DyMg2Ni9 structure, with properties calculated at the PBE level.

```
12
Lattice="2.427 1.401 7.868 -2.427 1.401 7.868 0.000 -2.803 7.868" Properties=species:S:1:pos:R:3 pbc="T T T"
Dy 0.000 0.000 0.000
Mg 0.000 0.000 3.392
Mg 0.000 0.000 20.211
Ni -1.223 -0.706 9.859
Ni 0.000 0.000 7.875
Ni 0.000 -1.412 13.745
Ni -1.223 0.706 13.745
Ni 0.000 0.000 11.802
Ni 1.223 -0.706 9.859
Ni 0.000 1.412 9.859
Ni 0.000 0.000 15.728
Ni 1.223 0.706 13.745
```

Summary:
- calculated formation energy (eV per atom) = -0.276
- spin magnetization (Bohr magnetons per cell) = 2.58
- E (eV per atom) = -5.26

No. 4
Below is a geometry-optimized Dy3MgNi structure, with properties calculated at the PBE level.

```
5
Lattice="5.252 0.000 0.000 0.000 5.252 0.000 0.000 0.000 5.252" Properties=species:S:1:pos:R:3 pbc="T T T"
Dy 0.000 0.000 2.626
Dy 0.000 2.626 0.000
Dy 2.626 0.000 0.000
Mg 2.626 2.626 2.626
Ni 0.000 0.000 0.000
```

Summary:
- calculated formation energy (eV per atom) = -0.048
- spin magnetization (Bohr magnetons per cell) = 0.98
- E above lowest polymorph (eV/atom) = 0.1155
- E (eV per atom) = -4.28

No. 5
Below is a geometry-optimized Dy3MgNi structure, with properties calculated at the PBE level.

```
10
Lattice="8.503 0.000 0.000 0.000 3.760 0.000 -3.857 0.000 8.192" Properties=species:S:1:pos:R:3 pbc="T T T"
Dy -0.575 0.940 1.397
Dy -0.208 2.820 4.470
Dy 2.258 2.820 1.812
Dy 2.387 0.940 6.381
Dy 4.853 0.940 3.722
Dy 5.220 2.820 6.795
Mg -0.681 0.940 7.387
Mg 5.326 2.820 0.805
Ni 1.608 0.940 3.616
Ni 3.037 2.820 4.576
```

Summary:
- calculated formation energy (eV per atom) = -0.164
- spin magnetization (Bohr magnetons per cell) = 0.00
- E above lowest polymorph (eV/atom) = 0.0000
- E (eV per atom) = -4.40

No. 6
Below is a geometry-optimized Dy3Mg2Ni2 structure, with properties calculated at the PBE level.

```
14
Lattice="3.908 0.000 0.000 0.000 22.152 0.000 0.000 0.000 3.678" Properties=species:S:1:pos:R:3 pbc="T T T"
Dy 0.000 0.000 0.000
Dy 0.000 3.950 0.000
Dy 0.000 18.202 0.000
Dy 1.954 7.126 0.000
Dy 1.954 11.076 0.000
Dy 1.954 15.026 0.000
Mg 0.000 9.112 1.839
Mg 0.000 13.040 1.839
Mg 1.954 1.964 1.839
Mg 1.954 20.188 1.839
Ni 0.000 6.248 1.839
Ni 0.000 15.904 1.839
Ni 1.954 4.828 1.839
Ni 1.954 17.324 1.839
```

Summary:
- calculated formation energy (eV per atom) = -0.291
- spin magnetization (Bohr magnetons per cell) = 0.70
- E (eV per atom) = -4.37

No. 7
Below is a geometry-optimized DyMgNi2 structure, with properties calculated at the PBE level.

```
4
Lattice="3.253 0.000 0.000 0.000 3.253 0.000 0.000 0.000 6.332" Properties=species:S:1:pos:R:3 pbc="T T T"
Dy 0.000 0.000 0.000
Mg 0.000 0.000 3.166
Ni 1.626 1.626 1.754
Ni 1.626 1.626 4.578
```

Summary:
- calculated formation energy (eV per atom) = -0.255
- spin magnetization (Bohr magnetons per cell) = 0.00
- E (eV per atom) = -4.69

No. 8
Below is a geometry-optimized Dy3Mg3Ni2 structure, with properties calculated at the PBE level.

```
16
Lattice="17.270 0.000 0.000 0.000 4.206 0.000 -0.929 0.000 5.013" Properties=species:S:1:pos:R:3 pbc="T T T"
Dy 0.000 0.000 0.000
Dy 2.375 0.000 2.989
Dy 5.331 2.103 2.024
Dy 8.635 2.103 0.000
Dy 11.010 2.103 2.989
Dy 13.966 0.000 2.024
Mg -0.465 2.103 2.506
Mg 2.347 2.103 0.405
Mg 5.359 0.000 4.608
Mg 8.170 0.000 2.506
Mg 10.982 0.000 0.405
Mg 13.993 2.103 4.608
Ni 3.875 0.000 0.646
Ni 3.831 2.103 4.367
Ni 12.510 2.103 0.646
Ni 12.465 0.000 4.367
```

Summary:
- calculated formation energy (eV per atom) = -0.215
- spin magnetization (Bohr magnetons per cell) = 0.00
- E (eV per atom) = -3.98

Copy entry 1 word for word.
Below is a geometry-optimized DyMgNi2 structure, with properties calculated at the PBE level.

```
16
Lattice="6.467 0.000 0.000 0.000 6.467 0.000 0.000 0.000 6.467" Properties=species:S:1:pos:R:3 pbc="T T T"
Dy 0.000 0.000 0.000
Dy 0.000 3.234 3.234
Dy 3.234 0.000 3.234
Dy 3.234 3.234 0.000
Mg 0.000 0.000 3.234
Mg 0.000 3.234 0.000
Mg 3.234 0.000 0.000
Mg 3.234 3.234 3.234
Ni 1.617 1.617 1.617
Ni 1.617 1.617 4.850
Ni 1.617 4.850 1.617
Ni 1.617 4.850 4.850
Ni 4.850 1.617 1.617
Ni 4.850 1.617 4.850
Ni 4.850 4.850 1.617
Ni 4.850 4.850 4.850
```

Summary:
- calculated formation energy (eV per atom) = -0.278
- spin magnetization (Bohr magnetons per cell) = 0.00
- E (eV per atom) = -4.72